Entry from Alexandria: a relaxed Sm2Dy5Th6 crystal (PBE-GGA).

abc: 11.831 20.528 3.529
angles: 90.00 90.00 90.00
Element x y z (fractional)
Sm1 0.176 0.226 0.000
Sm2 0.324 0.726 0.000
Sm3 0.676 0.274 0.000
Sm4 0.824 0.774 0.000
Dy1 0.000 0.500 0.500
Dy2 0.082 0.781 0.500
Dy3 0.205 0.063 0.500
Dy4 0.295 0.563 0.500
Dy5 0.418 0.281 0.500
Dy6 0.500 0.000 0.500
Dy7 0.582 0.719 0.500
Dy8 0.705 0.437 0.500
Dy9 0.795 0.937 0.500
Dy10 0.918 0.219 0.500
Th1 0.057 0.640 0.000
Th2 0.066 0.930 0.000
Th3 0.198 0.383 0.500
Th4 0.302 0.883 0.500
Th5 0.434 0.430 0.000
Th6 0.443 0.140 0.000
Th7 0.557 0.860 0.000
Th8 0.566 0.570 0.000
Th9 0.698 0.117 0.500
Th10 0.802 0.617 0.500
Th11 0.934 0.070 0.000
Th12 0.943 0.360 0.000

Values from the calculation:
Calculated total energy, eV per atom: -5.77
Calculated formation energy, eV per atom: 0.147